Record 1
Below is a relaxed structure of BeCrAs2, with properties calculated at the GGA-PBE level. Values from VASP.

```
&SYSTEM
  ibrav = 0, nat = 8, ntyp = 3
/
ATOMIC_SPECIES
Cr 52.00 Cr.upf
Be 9.01 Be.upf
As 74.92 As.upf
ATOMIC_POSITIONS crystal
Cr 0.750 0.250 0.500
Cr 0.000 0.000 0.000
Be 0.250 0.750 0.500
Be 0.500 0.500 0.000
As 0.606 0.125 0.250
As 0.144 0.625 0.250
As 0.875 0.856 0.750
As 0.375 0.394 0.750
CELL_PARAMETERS angstrom
-3.957 3.626 -0.222
-2.300 -2.754 -3.998
-5.978 -2.451 1.518
```

## Properties
DOS at the Fermi energy   2.1 states/eV per cell



Record 2
Below is a relaxed structure of Be2CrAs, with properties calculated at the GGA-PBE level. Values from VASP.

```
&SYSTEM
  ibrav = 0, nat = 4, ntyp = 3
/
ATOMIC_SPECIES
As 74.92 As.upf
Cr 52.00 Cr.upf
Be 9.01 Be.upf
ATOMIC_POSITIONS crystal
As 0.500 0.000 0.500
Cr 0.500 0.500 0.000
Be 0.000 0.500 0.500
Be 0.000 0.000 0.000
CELL_PARAMETERS angstrom
3.466 0.000 0.000
0.000 3.587 0.000
0.000 0.000 3.587
```

## Properties
DOS at the Fermi energy   2.1 states/eV per cell



Here are the calculated energy relative to the elements numbers, same order: 0.160, 0.113 (eV/atom).
Here are the calculated calculated volume numbers, same order: 19.6, 11.1 (Å³/atom).
Here are the calculated final energy numbers, same order: -5.502, -5.319 (eV/atom).